First-principles (GGA-PBE) data for a relaxed structure of RuWSe, as listed in the Alexandria database.

## Properties
The value obtained for the energy relative to the elements, uncorrected is 0.16 eV/atom. Its space-group type is No. 107.

Unit cell a=5.553 b=5.553 c=5.553 alpha=148.65 beta=148.65 gamma=44.93
Sites, in units of the cell vectors:
W1 0.667 0.667 0.000
Ru1 0.004 0.004 0.000
Se1 0.329 0.329 0.000